Compound: PIr3Os
Source: the Alexandria database
Functional: PBEsol
Structure: relaxed

Geometry as CIF:
```
data_PIr3Os
_cell_length_a 4.667
_cell_length_b 4.667
_cell_length_c 4.667
_cell_angle_alpha 90.00
_cell_angle_beta 90.00
_cell_angle_gamma 90.00
_space_group_name_H-M_alt 'P 1'
_space_group_IT_number 1
loop_
_space_group_symop_operation_xyz
'x,y,z'
loop_
_atom_site_label
_atom_site_type_symbol
_atom_site_fract_x
_atom_site_fract_y
_atom_site_fract_z
P1 P 0.500 0.500 0.500
Ir1 Ir 0.500 0.000 0.000
Os1 Os 0.000 0.000 0.000
Ir2 Ir 0.000 0.000 0.500
Ir3 Ir 0.000 0.500 0.000
```

Results
The value obtained for the calculated density is 13.03 g cm⁻³. The crystal system is cubic. The calculation puts the energy of formation from the pure elements at 2.24 eV per atom. The total energy is -7.26 eV per atom. As for the density of states at the Fermi level: 6.075 states/eV/f.u. The value obtained for the size of the total moment is 0.00 μB/cell.